Here is a relaxed BaBeSe2 crystal from the Alexandria database. Energies are from PBE.

The structure in CIF format:
```
data_BaBeSe2
_chemical_formula_sum 'Ba1 Be1 Se2'
_symmetry_space_group_name_H-M 'P 1'
_symmetry_Int_Tables_number 1
_cell_length_a 4.081
_cell_length_b 4.963
_cell_length_c 6.571
_cell_angle_alpha 67.91
_cell_angle_beta 90.00
_cell_angle_gamma 90.00
loop_
_symmetry_equiv_pos_as_xyz
'x,y,z'
loop_
_atom_site_label
_atom_site_fract_x
_atom_site_fract_y
_atom_site_fract_z
_atom_site_occupancy
Ba1 0.000 0.585 0.454 1
Se1 0.500 0.115 0.395 1
Se2 0.000 0.860 0.906 1
Be1 0.500 0.940 0.745 1
```

Results
uncorrected formation energy = -1181 meV per atom
DFT total energy = -17.34 eV per formula unit